(i)
This record from Alexandria describes a relaxed structure of CdFe3S. The functional is PBE.

a = 4.1869 Å, b = 4.1869 Å, c = 4.1869 Å
α = 90.00°, β = 90.00°, γ = 90.00°
Last column: magnetic moment on the atom in μB.
Positions (direct):
S  0.0000  0.0000  0.0000  0.01
Fe  0.0000  0.5000  0.0000  2.04
Fe  0.0000  0.0000  0.5000  1.95
Fe  0.5000  0.0000  0.0000  2.21
Cd  0.5000  0.5000  0.5000  -0.08

(ii)
This record from Alexandria describes a relaxed structure of CdFe3S. The functional is PBE.

a = 4.7935 Å, b = 4.7935 Å, c = 4.7935 Å
α = 90.00°, β = 90.00°, γ = 90.00°
Last column: magnetic moment on the atom in μB.
Positions (direct):
S  0.5000  0.5000  0.5000  0.16
Fe  0.0000  0.5000  0.0000  3.07
Fe  0.0000  0.0000  0.5000  3.37
Fe  0.5000  0.0000  0.0000  2.75
Cd  0.0000  0.0000  0.0000  -0.08

Of them, (i) has the highest stability.

(i)
This record from Alexandria describes a relaxed structure of CdFe2Sb. The functional is PBE.

a = 5.4438 Å, b = 5.4438 Å, c = 5.4438 Å
α = 145.10°, β = 131.78°, γ = 60.89°
Last column: magnetic moment on the atom in μB.
Positions (direct):
Cd  0.2402  0.7402  0.5000  -0.04
Fe  0.9674  0.9674  0.0000  2.39
Fe  0.7713  0.2713  0.5000  2.54
Sb  0.5211  0.5211  0.0000  -0.01

(ii)
This record from Alexandria describes a relaxed structure of CdFe2Sb. The functional is PBE.

a = 5.1279 Å, b = 5.1279 Å, c = 5.1279 Å
α = 134.50°, β = 134.50°, γ = 66.31°
Last column: magnetic moment on the atom in μB.
Positions (direct):
Cd  0.7500  0.2500  0.5000  -0.05
Fe  0.0000  0.0000  0.0000  2.57
Fe  0.2500  0.7500  0.5000  2.62
Sb  0.5000  0.5000  0.0000  0.00

Of them, (i) has the highest stability.

(i)
This record from Alexandria describes a relaxed structure of CdFe2Sb. The functional is PBE.

a = 4.5777 Å, b = 4.5777 Å, c = 4.5777 Å
α = 60.00°, β = 60.00°, γ = 60.00°
Last column: magnetic moment on the atom in μB.
Positions (direct):
Cd  0.5000  0.5000  0.5000  -0.05
Fe  0.0000  0.0000  0.0000  2.18
Fe  0.2500  0.2500  0.2500  2.61
Sb  0.7500  0.7500  0.7500  -0.03

(ii)
This record from Alexandria describes a relaxed structure of CdFe2Sb. The functional is PBE.

a = 4.0751 Å, b = 3.3638 Å, c = 5.3040 Å
α = 71.58°, β = 90.00°, γ = 90.00°
Last column: magnetic moment on the atom in μB.
Positions (direct):
Cd  0.5000  0.7765  0.8206  -0.04
Fe  0.0000  0.1877  0.9972  2.31
Fe  0.5000  0.0602  0.2569  2.21
Sb  0.0000  0.4756  0.4252  -0.07

Of them, (ii) has the highest stability.

(i)
This record from Alexandria describes a relaxed structure of CdFeSb2Te. The functional is PBE.

a = 5.4183 Å, b = 5.4183 Å, c = 5.5754 Å
α = 90.00°, β = 90.00°, γ = 90.00°
Last column: magnetic moment on the atom in μB.
Positions (direct):
Sb  0.0000  0.5000  0.0000  0.05
Sb  0.5000  0.0000  0.0000  0.05
Te  0.0000  0.0000  0.5000  0.06
Fe  0.5000  0.5000  0.5000  -0.18
Cd  0.0000  0.0000  0.0000  0.00

(ii)
This record from Alexandria describes a relaxed structure of CdFeSb2Te. The functional is PBE.

a = 4.7749 Å, b = 4.7749 Å, c = 5.7940 Å
α = 90.00°, β = 90.00°, γ = 90.00°
Positions (direct):
Sb  0.0000  0.5000  0.0000
Sb  0.5000  0.0000  0.0000
Te  0.0000  0.0000  0.5000
Fe  0.0000  0.0000  0.0000
Cd  0.5000  0.5000  0.5000

Of them, (ii) has the highest stability.

(i)
This record from Alexandria describes a relaxed structure of ScCdFe. The functional is PBE.

a = 4.4475 Å, b = 4.4475 Å, c = 4.4475 Å
α = 60.00°, β = 60.00°, γ = 60.00°
Last column: magnetic moment on the atom in μB.
Positions (direct):
Cd  0.5000  0.5000  0.5000  -0.04
Fe  0.7500  0.7500  0.7500  1.98
Sc  0.0000  0.0000  0.0000  -0.33

(ii)
This record from Alexandria describes a relaxed structure of ScCdFe. The functional is PBE.

a = 4.6320 Å, b = 4.6320 Å, c = 2.9868 Å
α = 90.00°, β = 90.00°, γ = 120.00°
Last column: magnetic moment on the atom in μB.
Positions (direct):
Cd  0.0000  0.0000  0.1674  -0.03
Fe  0.6667  0.3333  0.1658  2.49
Sc  0.3333  0.6667  0.6668  -0.32

(iii)
This record from Alexandria describes a relaxed structure of ScCdFe. The functional is PBE.

a = 3.0885 Å, b = 3.0885 Å, c = 6.8261 Å
α = 90.00°, β = 90.00°, γ = 120.00°
Last column: magnetic moment on the atom in μB.
Positions (direct):
Cd  0.0000  0.0000  0.0201  -0.03
Fe  0.6667  0.3333  0.3429  2.45
Sc  0.3333  0.6667  0.6371  -0.26

Of them, (ii) has the highest stability.

(i)
This record from Alexandria describes a relaxed structure of ScCd3Fe. The functional is PBE.

a = 4.8858 Å, b = 4.8858 Å, c = 4.8858 Å
α = 90.00°, β = 90.00°, γ = 90.00°
Positions (direct):
Sc  0.5000  0.5000  0.5000
Fe  0.0000  0.0000  0.0000
Cd  0.0000  0.5000  0.0000
Cd  0.0000  0.0000  0.5000
Cd  0.5000  0.0000  0.0000

(ii)
This record from Alexandria describes a relaxed structure of ScCd3Fe. The functional is PBE.

a = 5.4582 Å, b = 5.4582 Å, c = 5.4582 Å
α = 90.00°, β = 90.00°, γ = 90.00°
Last column: magnetic moment on the atom in μB.
Positions (direct):
Sc  0.0000  0.0000  0.0000  -0.23
Fe  0.5000  0.5000  0.5000  3.30
Cd  0.0000  0.5000  0.0000  -0.03
Cd  0.0000  0.0000  0.5000  -0.02
Cd  0.5000  0.0000  0.0000  -0.02

Of them, (i) has the highest stability.

(i)
This record from Alexandria describes a relaxed structure of Sc5CdFe. The functional is PBE.

a = 4.6350 Å, b = 4.6350 Å, c = 7.4027 Å
α = 90.00°, β = 90.00°, γ = 90.00°
Last column: magnetic moment on the atom in μB.
Positions (direct):
Sc  0.5000  0.0000  0.2632  -0.18
Sc  0.0000  0.5000  0.2632  -0.18
Sc  0.0000  0.0000  0.5000  -0.25
Sc  0.0000  0.5000  0.7368  -0.18
Sc  0.5000  0.0000  0.7368  -0.18
Cd  0.0000  0.0000  0.0000  0.01
Fe  0.5000  0.5000  0.5000  1.38

(ii)
This record from Alexandria describes a relaxed structure of Sc5CdFe. The functional is PBE.

a = 5.3946 Å, b = 5.3946 Å, c = 11.0621 Å
α = 77.44°, β = 77.44°, γ = 78.59°
Positions (direct):
Sc  0.9210  0.5962  0.1195
Sc  0.2015  0.5407  0.5679
Sc  0.5962  0.9210  0.6195
Sc  0.9727  0.0273  0.2500
Sc  0.4593  0.7985  0.9321
Sc  0.5407  0.2015  0.0679
Sc  0.0273  0.9727  0.7500
Sc  0.4038  0.0790  0.3805
Sc  0.7985  0.4593  0.4321
Sc  0.0790  0.4038  0.8805
Cd  0.3918  0.6082  0.2500
Cd  0.6082  0.3918  0.7500
Fe  0.0000  0.0000  0.0000
Fe  0.0000  0.0000  0.5000

Of them, (ii) has the highest stability.

(i)
This record from Alexandria describes a relaxed structure of CdFeSe. The functional is PBE.

a = 4.3656 Å, b = 4.3656 Å, c = 4.3656 Å
α = 60.00°, β = 60.00°, γ = 60.00°
Last column: magnetic moment on the atom in μB.
Positions (direct):
Cd  0.5000  0.5000  0.5000  -0.03
Fe  0.7500  0.7500  0.7500  2.48
Se  0.0000  0.0000  0.0000  0.02

(ii)
This record from Alexandria describes a relaxed structure of CdFeSe. The functional is PBE.

a = 6.5226 Å, b = 6.5227 Å, c = 2.9590 Å
α = 76.89°, β = 76.89°, γ = 26.22°
Last column: magnetic moment on the atom in μB.
Positions (direct):
Cd  0.0290  0.0290  0.9710  -0.01
Fe  0.6877  0.6877  0.3123  0.58
Se  0.2834  0.2834  0.7166  -0.04

Of them, (ii) has the highest stability.

(i)
This record from Alexandria describes a relaxed structure of CdFeSi. The functional is PBE.

a = 4.1090 Å, b = 4.1090 Å, c = 4.1090 Å
α = 60.00°, β = 60.00°, γ = 60.00°
Positions (direct):
Cd  0.5000  0.5000  0.5000
Fe  0.2500  0.2500  0.2500
Si  0.0000  0.0000  0.0000

(ii)
This record from Alexandria describes a relaxed structure of CdFeSi. The functional is PBE.

a = 2.9153 Å, b = 2.9153 Å, c = 6.3720 Å
α = 90.00°, β = 90.00°, γ = 120.00°
Last column: magnetic moment on the atom in μB.
Positions (direct):
Cd  0.0000  0.0000  0.0139  0.00
Fe  0.3333  0.6667  0.3686  1.76
Si  0.6667  0.3333  0.6176  -0.03

(iii)
This record from Alexandria describes a relaxed structure of CdFeSi. The functional is PBE.

a = 3.9322 Å, b = 3.9322 Å, c = 3.4592 Å
α = 90.00°, β = 90.00°, γ = 120.00°
Last column: magnetic moment on the atom in μB.
Positions (direct):
Cd  0.0000  0.0000  0.0000  -0.01
Fe  0.6667  0.3333  0.5000  0.41
Si  0.3333  0.6667  0.5000  -0.02

Of them, (iii) has the highest stability.

(i)
This record from Alexandria describes a relaxed structure of TaCdFe3. The functional is PBE.

a = 4.6202 Å, b = 4.6202 Å, c = 4.6202 Å
α = 90.00°, β = 90.00°, γ = 90.00°
Last column: magnetic moment on the atom in μB.
Positions (direct):
Cd  0.0000  0.0000  0.0000  -0.04
Fe  0.0000  0.5000  0.0000  2.96
Fe  0.0000  0.0000  0.5000  3.02
Fe  0.5000  0.0000  0.0000  2.75
Ta  0.5000  0.5000  0.5000  -1.08

(ii)
This record from Alexandria describes a relaxed structure of TaCdFe3. The functional is PBE.

a = 4.5549 Å, b = 4.5549 Å, c = 4.5549 Å
α = 90.00°, β = 90.00°, γ = 90.00°
Last column: magnetic moment on the atom in μB.
Positions (direct):
Cd  0.5000  0.5000  0.5000  -0.04
Fe  0.0000  0.5000  0.0000  1.91
Fe  0.0000  0.0000  0.5000  2.03
Fe  0.5000  0.0000  0.0000  1.59
Ta  0.0000  0.0000  0.0000  -0.57

Of them, (ii) has the highest stability.

(i)
This record from Alexandria describes a relaxed structure of Ta2CdFe2. The functional is PBE.

a = 7.4978 Å, b = 7.4978 Å, c = 2.8578 Å
α = 90.00°, β = 90.00°, γ = 90.00°
Positions (direct):
Cd  0.0000  0.0000  0.0000
Cd  0.5000  0.5000  0.0000
Fe  0.1428  0.6428  0.5000
Fe  0.6428  0.8572  0.5000
Fe  0.8572  0.3572  0.5000
Fe  0.3572  0.1428  0.5000
Ta  0.3565  0.8565  0.0000
Ta  0.8565  0.6435  0.0000
Ta  0.6435  0.1435  0.0000
Ta  0.1435  0.3565  0.0000

(ii)
This record from Alexandria describes a relaxed structure of Ta2CdFe2. The functional is PBE.

a = 7.2381 Å, b = 7.2381 Å, c = 2.9599 Å
α = 90.00°, β = 90.00°, γ = 90.00°
Positions (direct):
Cd  0.0000  0.0000  0.0000
Cd  0.5000  0.5000  0.0000
Fe  0.3643  0.8643  0.0000
Fe  0.8643  0.6357  0.0000
Fe  0.6357  0.1357  0.0000
Fe  0.1357  0.3643  0.0000
Ta  0.1557  0.6557  0.5000
Ta  0.6557  0.8443  0.5000
Ta  0.8443  0.3443  0.5000
Ta  0.3443  0.1557  0.5000

Of them, (ii) has the highest stability.

(i)
This record from Alexandria describes a relaxed structure of Tb3CdFe. The functional is PBE.

a = 5.1584 Å, b = 5.1584 Å, c = 5.1584 Å
α = 90.00°, β = 90.00°, γ = 90.00°
Positions (direct):
Tb  0.0000  0.5000  0.0000
Tb  0.0000  0.0000  0.5000
Tb  0.5000  0.0000  0.0000
Fe  0.0000  0.0000  0.0000
Cd  0.5000  0.5000  0.5000

(ii)
This record from Alexandria describes a relaxed structure of Tb3CdFe. The functional is PBE.

a = 8.2048 Å, b = 8.2048 Å, c = 8.6921 Å
α = 91.65°, β = 91.65°, γ = 26.36°
Positions (direct):
Tb  0.5589  0.5589  0.2259
Tb  0.9019  0.9019  0.4389
Tb  0.0981  0.0981  0.5611
Tb  0.4411  0.4411  0.7741
Tb  0.7457  0.7457  0.7964
Tb  0.2543  0.2543  0.2036
Cd  0.9054  0.9054  0.0669
Cd  0.0946  0.0946  0.9331
Fe  0.7267  0.7267  0.4620
Fe  0.2733  0.2733  0.5380

Of them, (ii) has the highest stability.